[1]
Compound: Cs2KP
Source: Alexandria via LeMat-Bulk
Functional: PBEsol
Structure: optimized geometry

- crystal system = cubic
- total moment (μB per formula unit) = 0.00
- uncorrected energy (eV per cell) = -36.50

a = 8.3770 Å, b = 8.3770 Å, c = 8.3770 Å
α = 90.00°, β = 90.00°, γ = 90.00°
Element x y z (fractional)
Cs1 0.2500 0.2500 0.2500
Cs2 0.2500 0.2500 0.7500
Cs3 0.2500 0.7500 0.2500
Cs4 0.2500 0.7500 0.7500
Cs5 0.7500 0.2500 0.2500
Cs6 0.7500 0.2500 0.7500
Cs7 0.7500 0.7500 0.2500
Cs8 0.7500 0.7500 0.7500
K1 0.0000 0.0000 0.0000
K2 0.0000 0.5000 0.5000
K3 0.5000 0.0000 0.5000
K4 0.5000 0.5000 0.0000
P1 0.0000 0.0000 0.5000
P2 0.0000 0.5000 0.0000
P3 0.5000 0.0000 0.0000
P4 0.5000 0.5000 0.5000

[2]
Compound: CsK2P2
Source: Alexandria via LeMat-Bulk
Functional: PBEsol
Structure: optimized geometry

- crystal system = tetragonal
- total moment (μB per formula unit) = 0.86
- uncorrected energy (eV per cell) = -31.93

a = 5.2461 Å, b = 5.2461 Å, c = 12.0592 Å
α = 90.00°, β = 90.00°, γ = 90.00°
Element x y z (fractional)
Cs1 0.0000 0.0000 0.0000
Cs2 0.5000 0.5000 0.5000
K1 0.0000 0.5000 0.2500
K2 0.0000 0.5000 0.7500
K3 0.5000 0.0000 0.2500
K4 0.5000 0.0000 0.7500
P1 0.0000 0.0000 0.4111
P2 0.0000 0.0000 0.5889
P3 0.5000 0.5000 0.0889
P4 0.5000 0.5000 0.9111